BaHoLu PBE relaxed; size of the total moment = 0.00 μB/cell; ΔE to the lowest computed polymorph = 0.0000 eV/atom; space group = F-43m; V = 132.30 Å³ per cell
1.0
0.000 4.044 4.044
4.044 0.000 4.044
4.044 4.044 0.000
Lu Ho Ba
1 1 1
Direct
0.250 0.250 0.250
0.000 0.000 0.000
0.500 0.500 0.500